a | Material: Tl2SbTe
Method: DFT, GGA-PBE
State: relaxed

Values from the calculation:
For the density of states at the Fermi level, the calculation gives 1.36 states/eV per cell. For the spin magnetization, the calculation gives 0.00 μB per formula unit.

Structure (POSCAR):
```
Tl2SbTe
1.0
-2.541 -1.370 1.591
1.801 -5.433 -1.802
3.583 -0.552 5.247
Sb Te Tl
1 1 2
direct
0.000 0.000 0.382
0.500 0.500 0.869
0.000 0.000 0.882
0.500 0.500 0.368
```

b | Material: Tl2SbTe
Method: DFT, GGA-PBE
State: relaxed

Values from the calculation:
For the density of states at the Fermi level, the calculation gives 2.08 states/eV per cell. For the spin magnetization, the calculation gives 0.00 μB per formula unit.

Structure (POSCAR):
```
Tl2SbTe
1.0
3.350 0.000 0.000
0.000 3.350 0.000
0.000 0.000 11.956
Sb Te Tl
1 1 2
direct
0.000 0.000 0.467
0.500 0.500 0.783
0.000 0.000 0.986
0.500 0.500 0.264
```

Bottom line: a, by a margin of 8.5 kJ/mol of atoms.

a | Material: Tl2SbTe2
Method: DFT, GGA-PBE
State: relaxed

Values from the calculation:
For the density of states at the Fermi level, the calculation gives 2.86 states/eV per cell. For the spin magnetization, the calculation gives 0.00 μB per formula unit.

Structure (POSCAR):
```
Tl2SbTe2
1.0
4.315 0.000 0.000
0.000 4.315 0.000
2.157 2.157 8.639
Sb Tl Te
1 2 2
direct
0.000 0.000 0.000
0.750 0.250 0.500
0.250 0.750 0.500
0.407 0.407 0.186
0.593 0.593 0.814
```

b | Material: Tl2SbTe2
Method: DFT, GGA-PBE
State: relaxed

Values from the calculation:
For the density of states at the Fermi level, the calculation gives 3.99 states/eV per cell. For the spin magnetization, the calculation gives 0.00 μB per formula unit.

Structure (POSCAR):
```
Tl2SbTe2
1.0
-0.253 7.052 -4.596
-8.320 0.488 1.207
0.742 2.660 4.040
Sb Tl Te
2 4 4
direct
0.000 0.000 0.000
0.500 0.500 0.000
0.141 0.641 0.500
0.641 0.859 0.500
0.859 0.359 0.500
0.359 0.141 0.500
0.326 0.826 0.000
0.826 0.674 0.000
0.674 0.174 0.000
0.174 0.326 0.000
```

c | Material: Tl2SbTe2
Method: DFT, GGA-PBE
State: relaxed

Values from the calculation:
For the density of states at the Fermi level, the calculation gives 3.90 states/eV per cell. For the spin magnetization, the calculation gives 0.00 μB per formula unit.

Structure (POSCAR):
```
Tl2SbTe2
1.0
8.214 0.000 0.154
0.000 8.881 0.000
-0.833 0.000 10.619
Tl Sb Te
8 4 8
direct
0.513 0.228 0.060
0.013 0.272 0.060
0.987 0.728 0.940
0.487 0.772 0.940
0.004 0.713 0.332
0.504 0.787 0.332
0.496 0.213 0.668
0.996 0.287 0.668
0.398 0.361 0.336
0.602 0.639 0.664
0.898 0.139 0.336
0.102 0.861 0.664
0.770 0.936 0.132
0.270 0.564 0.132
0.730 0.436 0.868
0.230 0.064 0.868
0.722 0.449 0.431
0.222 0.051 0.431
0.778 0.949 0.569
0.278 0.551 0.569
```

Bottom line: c, by a margin of 3.1 kJ/mol of atoms.

a | Material: Tl3SbTe
Method: DFT, GGA-PBE
State: relaxed

Values from the calculation:
For the density of states at the Fermi level, the calculation gives 1.84 states/eV per cell. For the spin magnetization, the calculation gives 0.00 μB per formula unit.

Structure (POSCAR):
```
Tl3SbTe
1.0
-1.983 2.936 -2.782
-7.434 0.665 6.000
5.330 6.272 2.821
Tl Sb Te
6 2 2
direct
0.750 0.637 0.403
0.250 0.363 0.597
0.750 0.325 0.944
0.250 0.901 0.789
0.250 0.675 0.056
0.750 0.099 0.211
0.250 0.912 0.423
0.750 0.088 0.577
0.250 0.385 0.232
0.750 0.615 0.768
```

b | Material: Tl3SbTe
Method: DFT, GGA-PBE
State: relaxed

Values from the calculation:
For the density of states at the Fermi level, the calculation gives 1.82 states/eV per cell. For the spin magnetization, the calculation gives 0.00 μB per formula unit.

Structure (POSCAR):
```
Tl3SbTe
1.0
-5.275 1.230 -2.273
-0.220 -5.361 -2.391
-2.575 -2.062 4.860
Sb Tl Te
1 3 1
direct
0.000 0.000 0.000
0.000 0.500 0.000
0.000 0.000 0.500
0.500 0.000 0.000
0.500 0.500 0.500
```

Bottom line: a, by a margin of 32.7 kJ/mol of atoms.